Entry 1:
DFT (PBE-GGA) results for an optimized crystal structure of LuZnFeAg.

E_form = 0.053 eV/atom
SG = F-43m
excess energy over the best structure of this formula in the dataset = 0 meV/atom
total magnetic moment = 2.582 μB per formula unit

Cell lengths 6.584, 6.584, 6.584 Å; angles 90.00, 90.00, 90.00 degrees
Sites, in units of the cell vectors:
Lu 0.000 0.000 0.000
Lu 0.000 0.500 0.500
Lu 0.500 0.000 0.500
Lu 0.500 0.500 0.000
Zn 0.250 0.250 0.250
Zn 0.250 0.750 0.750
Zn 0.750 0.250 0.750
Zn 0.750 0.750 0.250
Fe 0.000 0.000 0.500
Fe 0.000 0.500 0.000
Fe 0.500 0.000 0.000
Fe 0.500 0.500 0.500
Ag 0.250 0.250 0.750
Ag 0.250 0.750 0.250
Ag 0.750 0.250 0.250
Ag 0.750 0.750 0.750

---

Entry 2:
DFT (PBE-GGA) results for an optimized crystal structure of Dy2Sc2CBr2Cl3.

SG = C2/m
excess energy over the best structure of this formula in the dataset = 46 meV/atom
total magnetic moment = 0.029 μB per formula unit

Cell lengths 8.655, 8.655, 7.556 Å; angles 102.53, 102.53, 24.33 degrees
Sites, in units of the cell vectors:
Dy 0.142 0.142 0.072
Dy 0.858 0.858 0.928
Sc 0.499 0.499 0.200
Sc 0.501 0.501 0.800
C 0.000 0.000 0.000
Br 0.338 0.338 0.640
Br 0.662 0.662 0.360
Cl 0.000 0.000 0.500
Cl 0.334 0.334 0.177
Cl 0.666 0.666 0.823

---

Entry 3:
DFT (PBE-GGA) results for an optimized crystal structure of PaCuGe.

SG = P6_3/mmc
excess energy over the best structure of this formula in the dataset = 0 meV/atom
total magnetic moment = 0.003 μB per formula unit

Cell lengths 4.112, 4.112, 7.840 Å; angles 90.00, 90.00, 120.00 degrees
Sites, in units of the cell vectors:
Pa 0.000 0.000 0.000
Pa 0.000 0.000 0.500
Cu 0.333 0.667 0.250
Cu 0.667 0.333 0.750
Ge 0.333 0.667 0.750
Ge 0.667 0.333 0.250

---

Entry 4:
DFT (PBE-GGA) results for an optimized crystal structure of Ta7Al8.

SG = P4_2/mnm
excess energy over the best structure of this formula in the dataset = 0 meV/atom
total magnetic moment = 0.029 μB per formula unit

Cell lengths 9.831, 9.831, 5.305 Å; angles 90.00, 90.00, 90.00 degrees
Sites, in units of the cell vectors:
Ta 0.000 0.000 0.000
Ta 0.099 0.099 0.500
Ta 0.184 0.816 0.250
Ta 0.184 0.816 0.750
Ta 0.316 0.316 0.250
Ta 0.316 0.316 0.750
Ta 0.401 0.599 0.000
Ta 0.500 0.500 0.500
Ta 0.599 0.401 0.000
Ta 0.684 0.684 0.250
Ta 0.684 0.684 0.750
Ta 0.816 0.184 0.250
Ta 0.816 0.184 0.750
Ta 0.901 0.901 0.500
Al 0.035 0.367 0.500
Al 0.066 0.263 0.000
Al 0.133 0.535 0.000
Al 0.237 0.566 0.500
Al 0.263 0.066 0.000
Al 0.367 0.035 0.500
Al 0.434 0.763 0.500
Al 0.465 0.867 0.000
Al 0.535 0.133 0.000
Al 0.566 0.237 0.500
Al 0.633 0.965 0.500
Al 0.737 0.934 0.000
Al 0.763 0.434 0.500
Al 0.867 0.465 0.000
Al 0.934 0.737 0.000
Al 0.965 0.633 0.500

---

Entry 5:
DFT (PBE-GGA) results for an optimized crystal structure of CoPW.

VASP energy = -8.5084 eV per atom
SG = P-62m
total magnetic moment = 0.001 μB per formula unit

Cell lengths 6.039, 6.039, 3.623 Å; angles 90.00, 90.00, 120.00 degrees
Sites, in units of the cell vectors:
Co 0.000 0.000 0.000
Co 0.333 0.667 0.500
Co 0.667 0.333 0.500
P 0.000 0.284 0.500
P 0.284 0.000 0.500
P 0.716 0.716 0.500
W 0.000 0.606 0.000
W 0.394 0.394 0.000
W 0.606 0.000 0.000

---

Entry 6:
DFT (PBE-GGA) results for an optimized crystal structure of NaAgBi.

VASP energy = -2.5001 eV per atom
SG = F-43m

Cell lengths 6.859, 6.859, 6.859 Å; angles 90.00, 90.00, 90.00 degrees
Sites, in units of the cell vectors:
Na 0.000 0.000 0.000
Na 0.000 0.500 0.500
Na 0.500 0.000 0.500
Na 0.500 0.500 0.000
Ag 0.250 0.250 0.750
Ag 0.250 0.750 0.250
Ag 0.750 0.250 0.250
Ag 0.750 0.750 0.750
Bi 0.250 0.250 0.250
Bi 0.250 0.750 0.750
Bi 0.750 0.250 0.750
Bi 0.750 0.750 0.250

---

Entry 7:
DFT (PBE-GGA) results for an optimized crystal structure of AlRe2Ni.

VASP energy = -8.6362 eV per atom
SG = F-43m
total magnetic moment = 0.005 μB per formula unit

Cell lengths 6.036, 6.036, 6.036 Å; angles 90.00, 90.00, 90.00 degrees
Sites, in units of the cell vectors:
Al 0.000 0.000 0.000
Al 0.000 0.500 0.500
Al 0.500 0.000 0.500
Al 0.500 0.500 0.000
Re 0.000 0.000 0.500
Re 0.000 0.500 0.000
Re 0.250 0.250 0.750
Re 0.250 0.750 0.250
Re 0.500 0.000 0.000
Re 0.500 0.500 0.500
Re 0.750 0.250 0.250
Re 0.750 0.750 0.750
Ni 0.250 0.250 0.250
Ni 0.250 0.750 0.750
Ni 0.750 0.250 0.750
Ni 0.750 0.750 0.250

---

Entry 8:
DFT (PBE-GGA) results for an optimized crystal structure of TmTe2Br2.

VASP energy = -3.9641 eV per atom
SG = P-1
total magnetic moment = 0.001 μB per formula unit

Cell lengths 7.431, 8.014, 8.257 Å; angles 116.17, 90.54, 117.40 degrees
Sites, in units of the cell vectors:
Tm 0.169 0.339 0.499
Tm 0.831 0.661 0.501
Te 0.078 0.176 0.804
Te 0.261 0.971 0.452
Te 0.739 0.029 0.548
Te 0.922 0.824 0.196
Br 0.102 0.666 0.750
Br 0.420 0.373 0.250
Br 0.580 0.627 0.750
Br 0.898 0.334 0.250

---

Entry 9:
DFT (PBE-GGA) results for an optimized crystal structure of TbYCuSi3.

VASP energy = -5.9266 eV per atom
SG = Fmmm
total magnetic moment = 0.001 μB per formula unit

Cell lengths 8.025, 7.998, 5.690 Å; angles 69.45, 68.95, 41.60 degrees
Sites, in units of the cell vectors:
Tb 0.244 0.756 0.244
Tb 0.756 0.244 0.756
Y 0.250 0.250 0.250
Y 0.750 0.750 0.750
Cu 0.333 0.333 0.667
Cu 0.667 0.667 0.333
Si 0.169 0.169 0.831
Si 0.171 0.660 0.829
Si 0.340 0.829 0.660
Si 0.660 0.171 0.340
Si 0.829 0.340 0.171
Si 0.831 0.831 0.169

---

Entry 10:
DFT (PBE-GGA) results for an optimized crystal structure of InGaHgTeSe3.

VASP energy = -3.2459 eV per atom
SG = P1

Cell lengths 5.943, 6.025, 7.138 Å; angles 113.24, 113.52, 91.14 degrees
Sites, in units of the cell vectors:
In 0.000 0.000 0.000
Ga 0.258 0.772 0.514
Hg 0.763 0.260 0.507
Te 0.388 0.426 0.228
Se 0.176 0.644 0.772
Se 0.602 0.139 0.771
Se 0.878 0.846 0.254

---

Entry 11:
DFT (PBE-GGA) results for an optimized crystal structure of PmTmS2.

VASP energy = -6.3186 eV per atom
SG = P4/mmm
total magnetic moment = 0.009 μB per formula unit

Cell lengths 3.938, 3.938, 5.571 Å; angles 90.00, 90.00, 90.00 degrees
Sites, in units of the cell vectors:
Pm 0.000 0.000 0.000
Tm 0.500 0.500 0.500
S 0.000 0.000 0.500
S 0.500 0.500 0.000

---

Entry 12:
DFT (PBE-GGA) results for an optimized crystal structure of PaInPd.

VASP energy = -6.1421 eV per atom
SG = F-43m
total magnetic moment = 0.001 μB per formula unit

Cell lengths 6.656, 6.656, 6.656 Å; angles 90.00, 90.00, 90.00 degrees
Sites, in units of the cell vectors:
Pa 0.000 0.000 0.000
Pa 0.000 0.500 0.500
Pa 0.500 0.000 0.500
Pa 0.500 0.500 0.000
In 0.000 0.000 0.500
In 0.000 0.500 0.000
In 0.500 0.000 0.000
In 0.500 0.500 0.500
Pd 0.250 0.250 0.750
Pd 0.250 0.750 0.250
Pd 0.750 0.250 0.250
Pd 0.750 0.750 0.750

---

Question: What is the formula in the ninth record?
Answer: TbYCuSi3